Zr3BiC | meta-GGA SCAN | single point on PBEsol structure

```
Zr3BiC
1.0
-2.968 -2.983 -3.269
-1.803 -2.779 4.174
-4.042 3.431 0.539
Zr Bi C
3 1 1
direct
0.500 0.000 0.000
0.000 0.500 0.000
0.000 0.000 0.500
0.000 0.000 0.000
0.500 0.500 0.500
```

Its energy relative to the elements is 2344 meV/atom. The calculation puts the total DFT energy (no corrections) at -169.05 eV/cell.